<1>
Compound: CdPSe
Source: Alexandria via LeMat-Bulk
Functional: SCAN
Structure: PBEsol geometry

Computed properties:
Total magnetization: 0.000 μB per atom

a = 3.0309 Å, b = 3.0309 Å, c = 7.5929 Å
α = 90.00°, β = 90.00°, γ = 120.00°
Space group P3m1 (No. 156)
One atom of each set of equivalent atoms:
Cd  0.0000  0.0000  0.0000 (multiplicity 1)
P  0.3333  0.6667  0.7199 (multiplicity 1)
Se  0.6667  0.3333  0.3088 (multiplicity 1)

***

<2>
Compound: CdPSe
Source: Alexandria via LeMat-Bulk
Functional: SCAN
Structure: PBEsol geometry

Computed properties:
Total magnetization: 0.000 μB per atom

a = 4.9429 Å, b = 4.9429 Å, c = 2.8225 Å
α = 90.00°, β = 90.00°, γ = 120.00°
Space group P-6m2 (No. 187)
One atom of each set of equivalent atoms:
Cd  0.0000  0.0000  0.0000 (multiplicity 1)
P  0.6667  0.3333  0.0000 (multiplicity 1)
Se  0.3333  0.6667  0.0000 (multiplicity 1)

***

Result of the stability comparison: <2> is the most stable of them.

***

<1>
Compound: Ni3OF5
Source: Alexandria via LeMat-Bulk
Functional: SCAN
Structure: PBEsol geometry

Computed properties:
Total magnetization: 0.670 μB per atom

a = 5.444 Å, b = 5.515 Å, c = 7.085 Å
α = 72.22°, β = 72.83°, γ = 71.76°
Space group P1 (No. 1)
One atom of each set of equivalent atoms:
Ni  0.000  0.000  0.000 (multiplicity 1)
Ni  0.009  0.024  0.494 (multiplicity 1)
Ni  0.317  0.334  0.180 (multiplicity 1)
Ni  0.355  0.352  0.671 (multiplicity 1)
Ni  0.670  0.657  0.822 (multiplicity 1)
Ni  0.697  0.641  0.349 (multiplicity 1)
O  0.593  0.556  0.626 (multiplicity 1)
O  0.969  0.356  0.320 (multiplicity 1)
F  0.044  0.655  0.680 (multiplicity 1)
F  0.100  0.130  0.702 (multiplicity 1)
F  0.253  0.213  0.970 (multiplicity 1)
F  0.300  0.691  0.988 (multiplicity 1)
F  0.394  0.963  0.347 (multiplicity 1)
F  0.420  0.450  0.370 (multiplicity 1)
F  0.642  0.030  0.662 (multiplicity 1)
F  0.697  0.305  0.013 (multiplicity 1)
F  0.757  0.769  0.043 (multiplicity 1)
F  0.934  0.878  0.300 (multiplicity 1)

***

<2>
Compound: Ni3OF5
Source: Alexandria via LeMat-Bulk
Functional: SCAN
Structure: PBEsol geometry

Computed properties:
Total magnetization: 0.776 μB per atom

a = 8.782 Å, b = 6.580 Å, c = 7.045 Å
α = 90.00°, β = 110.91°, γ = 90.00°
Space group Cm (No. 8)
One atom of each set of equivalent atoms:
Ni  0.000  0.000  0.000 (multiplicity 2)
Ni  0.003  0.000  0.525 (multiplicity 2)
Ni  0.151  0.500  0.178 (multiplicity 2)
Ni  0.161  0.500  0.679 (multiplicity 2)
Ni  0.319  0.000  0.862 (multiplicity 2)
Ni  0.336  0.000  0.333 (multiplicity 2)
O  0.097  0.000  0.808 (multiplicity 2)
O  0.430  0.000  0.142 (multiplicity 2)
F  0.055  0.500  0.877 (multiplicity 2)
F  0.161  0.197  0.180 (multiplicity 4)
F  0.236  0.000  0.546 (multiplicity 2)
F  0.265  0.500  0.478 (multiplicity 2)
F  0.328  0.304  0.844 (multiplicity 4)
F  0.393  0.500  0.213 (multiplicity 2)
F  0.499  0.198  0.509 (multiplicity 4)

***

Result of the stability comparison: <2> is the most stable of them.

***

<1>
Compound: YMg2Sc
Source: Alexandria via LeMat-Bulk
Functional: SCAN
Structure: PBEsol geometry

Computed properties:
Total magnetization: 0.116 μB per atom

a = 3.224 Å, b = 5.004 Å, c = 6.392 Å
α = 90.00°, β = 104.38°, γ = 90.00°
Space group Pm (No. 6)
One atom of each set of equivalent atoms:
Y  0.000  0.000  0.000 (multiplicity 1)
Mg  0.614  0.500  0.231 (multiplicity 1)
Mg  0.747  0.000  0.491 (multiplicity 1)
Sc  0.353  0.500  0.706 (multiplicity 1)

***

<2>
Compound: YMg2Sc
Source: Alexandria via LeMat-Bulk
Functional: SCAN
Structure: PBEsol geometry

Computed properties:
Total magnetization: 0.218 μB per atom

a = 3.305 Å, b = 3.305 Å, c = 9.117 Å
α = 90.00°, β = 90.00°, γ = 90.00°
Space group P4mm (No. 99)
One atom of each set of equivalent atoms:
Y  0.000  0.000  0.000 (multiplicity 1)
Mg  0.000  0.000  0.503 (multiplicity 1)
Mg  0.500  0.500  0.733 (multiplicity 1)
Sc  0.500  0.500  0.264 (multiplicity 1)

***

Result of the stability comparison: <2> is the most stable of them.

***

<1>
Compound: KFeIr2
Source: Alexandria via LeMat-Bulk
Functional: SCAN
Structure: PBEsol geometry

Computed properties:
Total magnetization: 0.810 μB per atom

a = 2.709 Å, b = 4.210 Å, c = 7.021 Å
α = 90.00°, β = 101.25°, γ = 90.00°
Space group Pm (No. 6)
One atom of each set of equivalent atoms:
K  0.000  0.000  0.000 (multiplicity 1)
Fe  0.661  0.500  0.336 (multiplicity 1)
Ir  0.315  0.500  0.641 (multiplicity 1)
Ir  0.758  0.000  0.528 (multiplicity 1)

***

<2>
Compound: KFeIr2
Source: Alexandria via LeMat-Bulk
Functional: SCAN
Structure: PBEsol geometry

Computed properties:
Total magnetization: 1.016 μB per atom

a = 3.889 Å, b = 3.889 Å, c = 4.295 Å
α = 90.00°, β = 90.00°, γ = 90.00°
Space group P4/mmm (No. 123)
One atom of each set of equivalent atoms:
K  0.000  0.000  0.000 (multiplicity 1)
Fe  0.500  0.500  0.000 (multiplicity 1)
Ir  0.000  0.500  0.500 (multiplicity 2)

***

Result of the stability comparison: <1> is the most stable of them.

***

<1>
Compound: FeAgOs2
Source: Alexandria via LeMat-Bulk
Functional: SCAN
Structure: PBEsol geometry

Computed properties:
Total magnetization: 0.470 μB per atom

a = 2.651 Å, b = 2.651 Å, c = 7.772 Å
α = 90.00°, β = 90.00°, γ = 90.00°
Space group P4/mmm (No. 123)
One atom of each set of equivalent atoms:
Fe  0.000  0.000  0.000 (multiplicity 1)
Ag  0.000  0.000  0.500 (multiplicity 1)
Os  0.500  0.500  0.220 (multiplicity 2)

***

<2>
Compound: FeAgOs2
Source: Alexandria via LeMat-Bulk
Functional: SCAN
Structure: PBEsol geometry

Computed properties:
Total magnetization: 0.553 μB per atom

a = 2.6749 Å, b = 2.6749 Å, c = 26.6047 Å
α = 90.00°, β = 90.00°, γ = 120.00°
Space group R-3m (No. 166, hexagonal axes)
One atom of each set of equivalent atoms:
Fe  0.0000  0.0000  0.0000 (multiplicity 3)
Ag  0.0000  0.0000  0.5000 (multiplicity 3)
Os  0.0000  0.0000  0.2585 (multiplicity 6)

***

Result of the stability comparison: <2> is the most stable of them.

***

<1>
Compound: LiMn2OF3
Source: Alexandria via LeMat-Bulk
Functional: SCAN
Structure: PBEsol geometry

Computed properties:
Total magnetization: 1.429 μB per atom

a = 10.520 Å, b = 6.221 Å, c = 5.166 Å
α = 90.00°, β = 90.00°, γ = 90.00°
Space group Pnma (No. 62)
One atom of each set of equivalent atoms:
Li  0.089  0.250  0.020 (multiplicity 4)
Mn  0.000  0.000  0.500 (multiplicity 4)
Mn  0.239  0.750  0.005 (multiplicity 4)
O  0.084  0.250  0.660 (multiplicity 4)
F  0.070  0.750  0.794 (multiplicity 4)
F  0.168  0.022  0.213 (multiplicity 8)

***

<2>
Compound: LiMn2OF3
Source: Alexandria via LeMat-Bulk
Functional: SCAN
Structure: PBEsol geometry

Computed properties:
Total magnetization: 1.429 μB per atom

a = 6.150 Å, b = 6.150 Å, c = 8.760 Å
α = 90.00°, β = 90.00°, γ = 90.00°
Space group P4_3 (No. 78)
One atom of each set of equivalent atoms:
Li  0.010  0.244  0.000 (multiplicity 4)
Mn  0.243  0.722  0.886 (multiplicity 4)
Mn  0.246  0.511  0.236 (multiplicity 4)
O  0.247  0.464  0.010 (multiplicity 4)
F  0.000  0.236  0.764 (multiplicity 4)
F  0.019  0.239  0.245 (multiplicity 4)
F  0.231  0.510  0.496 (multiplicity 4)

***

Result of the stability comparison: <1> is the most stable of them.